[1]
Computed, not measured: a geometry-optimized P2OsRh structure at the GGA-PBEsol level of DFT.

Output
The energy above the most stable polymorph in this dataset comes out at 152 meV/atom. The calculation puts the calculated volume at 13.04 Å³ per atom. Its crystal system is monoclinic. As for the symmetry: No. 12.

The structure in CIF format:
```
data_P2OsRh
_chemical_formula_sum 'P2 Os1 Rh1'
_cell_length_a 2.892
_cell_length_b 4.011
_cell_length_c 4.936
_cell_angle_alpha 101.52
_cell_angle_beta 90.00
_cell_angle_gamma 111.13
_symmetry_space_group_name_H-M 'P 1'
_symmetry_Int_Tables_number 1
loop_
_symmetry_equiv_pos_as_xyz
'x,y,z'
loop_
_atom_site_label
_atom_site_type_symbol
_atom_site_fract_x
_atom_site_fract_y
_atom_site_fract_z
_atom_site_occupancy
Os1 Os 0.000 0.000 0.500 1
P1 P 0.746 0.492 0.742 1
P2 P 0.254 0.508 0.258 1
Rh1 Rh 0.500 0.000 0.000 1
```



[2]
Computed, not measured: a geometry-optimized POs2Ru structure at the GGA-PBEsol level of DFT.

Output
The calculation puts the calculated volume at 13.32 Å³ per atom. For the final energy, the calculation gives -10.1639 eV per atom. Its crystal system is orthorhombic. As for the symmetry: No. 38.

The structure in CIF format:
```
data_POs2Ru
_chemical_formula_sum 'P1 Os2 Ru1'
_cell_length_a 2.774
_cell_length_b 3.788
_cell_length_c 5.258
_cell_angle_alpha 90.00
_cell_angle_beta 105.30
_cell_angle_gamma 90.00
_symmetry_space_group_name_H-M 'P 1'
_symmetry_Int_Tables_number 1
loop_
_symmetry_equiv_pos_as_xyz
'x,y,z'
loop_
_atom_site_label
_atom_site_type_symbol
_atom_site_fract_x
_atom_site_fract_y
_atom_site_fract_z
_atom_site_occupancy
Os1 Os 0.939 0.000 0.877 1
Os2 Os 0.315 0.500 0.630 1
P1 P 0.165 0.000 0.331 1
Ru1 Ru 0.584 0.500 0.167 1
```



Copy entry 2 word for word.
Computed, not measured: a geometry-optimized POs2Ru structure at the GGA-PBEsol level of DFT.

Output
The calculation puts the calculated volume at 13.32 Å³ per atom. For the final energy, the calculation gives -10.1639 eV per atom. Its crystal system is orthorhombic. As for the symmetry: No. 38.

The structure in CIF format:
```
data_POs2Ru
_chemical_formula_sum 'P1 Os2 Ru1'
_cell_length_a 2.774
_cell_length_b 3.788
_cell_length_c 5.258
_cell_angle_alpha 90.00
_cell_angle_beta 105.30
_cell_angle_gamma 90.00
_symmetry_space_group_name_H-M 'P 1'
_symmetry_Int_Tables_number 1
loop_
_symmetry_equiv_pos_as_xyz
'x,y,z'
loop_
_atom_site_label
_atom_site_type_symbol
_atom_site_fract_x
_atom_site_fract_y
_atom_site_fract_z
_atom_site_occupancy
Os1 Os 0.939 0.000 0.877 1
Os2 Os 0.315 0.500 0.630 1
P1 P 0.165 0.000 0.331 1
Ru1 Ru 0.584 0.500 0.167 1
```



What did the first record say?
Computed, not measured: a geometry-optimized P2OsRh structure at the GGA-PBEsol level of DFT.

Output
The energy above the most stable polymorph in this dataset comes out at 152 meV/atom. The calculation puts the calculated volume at 13.04 Å³ per atom. Its crystal system is monoclinic. As for the symmetry: No. 12.

The structure in CIF format:
```
data_P2OsRh
_chemical_formula_sum 'P2 Os1 Rh1'
_cell_length_a 2.892
_cell_length_b 4.011
_cell_length_c 4.936
_cell_angle_alpha 101.52
_cell_angle_beta 90.00
_cell_angle_gamma 111.13
_symmetry_space_group_name_H-M 'P 1'
_symmetry_Int_Tables_number 1
loop_
_symmetry_equiv_pos_as_xyz
'x,y,z'
loop_
_atom_site_label
_atom_site_type_symbol
_atom_site_fract_x
_atom_site_fract_y
_atom_site_fract_z
_atom_site_occupancy
Os1 Os 0.000 0.000 0.500 1
P1 P 0.746 0.492 0.742 1
P2 P 0.254 0.508 0.258 1
Rh1 Rh 0.500 0.000 0.000 1
```